[1]
VASP calculation (PBE) on an optimized crystal structure of Y6Ge2C.

The structure belongs to space group P2_1/c (No. 14); the cell edges are 6.3149, 7.6864 and 11.2528 Å and the angles 90.00°, 123.10° and 90.00°. Symmetry generates all atoms from Y at (0.1184, 0.1629, 0.4436), Y at (0.2999, 0.7031, 0.4464), Y at (0.3693, 0.0330, 0.2520), Ge at (0.1913, 0.1127, 0.7562) and C at (0.5000, 0.0000, 0.5000).

Its uncorrected energy is -6.92 eV per atom. The calculation puts the energy above the most stable polymorph in this dataset at 0 meV per atom. The formation energy comes out at -54.03 kJ per mole of atoms.

[2]
VASP calculation (PBE) on an optimized crystal structure of TeRu2.

The structure belongs to space group P-3m1 (No. 164); the cell edges are 3.0646, 3.0646 and 6.2265 Å and the angles 90.00°, 90.00° and 120.00°. Symmetry generates all atoms from Te at (0.0000, 0.0000, 0.0000) and Ru at (0.3333, 0.6667, 0.3354).

The uncorrected formation energy comes out at 0.54 eV/atom. Its uncorrected energy is -6.69 eV per atom. The calculation puts the energy above the most stable polymorph in this dataset at 423 meV per atom.

no.,total moment (Bohr magnetons per cell)
1,3.3
2,0.0